Entry 1:
The following is a PBE calculation of a relaxed Ta3VCr crystal, from Alexandria via LeMat-Bulk.

Results
The value obtained for the formation energy is 1309 meV per atom. Its space group is Pm-3m, No. 221.

a = 4.639 Å, b = 4.639 Å, c = 4.639 Å
α = 90.00°, β = 90.00°, γ = 90.00°
Atoms (fractional coordinates):
1 Cr 0.500 0.500 0.500
2 Ta 0.000 0.500 0.000
3 Ta 0.000 0.000 0.500
4 Ta 0.500 0.000 0.000
5 V 0.000 0.000 0.000

***

Entry 2:
The following is a PBE calculation of a relaxed TaV4Cr crystal, from Alexandria via LeMat-Bulk.

Results
The value obtained for the formation energy is 61 meV per atom. Its space group is F-43m, No. 216.

a = 4.944 Å, b = 4.944 Å, c = 4.944 Å
α = 60.00°, β = 60.00°, γ = 60.00°
Atoms (fractional coordinates):
1 Cr 0.250 0.250 0.250
2 V 0.625 0.625 0.125
3 V 0.625 0.125 0.625
4 V 0.625 0.625 0.625
5 V 0.125 0.625 0.625
6 Ta 0.000 0.000 0.000

***

Entry 3:
The following is a PBE calculation of a relaxed TaVCr crystal, from Alexandria via LeMat-Bulk.

Results
The value obtained for the formation energy is -17 meV per atom. Its space group is I4mm, No. 107.

a = 3.040 Å, b = 3.040 Å, c = 5.153 Å
α = 107.15°, β = 107.15°, γ = 90.00°
Atoms (fractional coordinates):
1 Cr 0.959 0.959 0.918
2 V 0.603 0.603 0.206
3 Ta 0.288 0.288 0.576

***

Entry 4:
The following is a PBE calculation of a relaxed Ta2V4Cr crystal, from Alexandria via LeMat-Bulk.

Results
The value obtained for the formation energy is 903 meV per atom. Its space group is I4/mmm, No. 139.

a = 4.239 Å, b = 4.239 Å, c = 7.204 Å
α = 72.89°, β = 72.89°, γ = 90.00°
Atoms (fractional coordinates):
1 Cr 0.000 0.000 0.000
2 V 0.177 0.177 0.645
3 V 0.823 0.823 0.355
4 V 0.000 0.500 0.000
5 V 0.500 0.000 0.000
6 Ta 0.372 0.372 0.257
7 Ta 0.628 0.628 0.743

***

no.,magnetization (μB per cell)
1,3.23
2,0.00
3,0.00
4,0.01